(1)
DFT (PBE) results for crystalline YSnRu2 at its relaxed geometry.

a b c (Å): 3.3405 3.3405 6.5783
angles (deg): 90.00 90.00 90.00
Closest atoms and distances in Å follow each position.
Fractional positions:
Y  0.0000  0.0000  0.0000  8 Ru 2.97, 2 Sn 3.29
Sn  0.0000  0.0000  0.5000  8 Ru 2.79
Ru  0.5000  0.5000  0.2730  4 Sn 2.79, 4 Y 2.97, 1 Ru 2.99
Ru  0.5000  0.5000  0.7270  4 Sn 2.79, 4 Y 2.97, 1 Ru 2.99

Properties
- formation energy from the elements (eV per atom) = -0.269

(2)
DFT (PBE) results for crystalline YSn2Ru at its relaxed geometry.

a b c (Å): 5.7380 5.7380 5.7380
angles (deg): 46.13 46.13 46.13
Closest atoms and distances in Å follow each position.
Fractional positions:
Y  0.0000  0.0000  0.0000  6 Sn 3.08
Sn  0.2254  0.2254  0.2254  3 Ru 2.75
Sn  0.7746  0.7746  0.7746  3 Ru 2.75
Ru  0.5000  0.5000  0.5000  6 Sn 2.75

Properties
- formation energy from the elements (eV per atom) = -0.395